Record 1
# Y3ErTe

A relaxed Y3ErTe crystal (PBE-GGA, the Alexandria database).

abc: 7.7527 7.7527 7.4338
angles: 105.00 119.55 106.20
With the nearest neighbours (Å) after each atom.
Fractional positions:
Y (0.8314, 0.0463, 0.2548)  2 Te 3.01-3.21, 1 Er 3.30
Y (0.2085, 0.4234, 0.2548)  2 Te 3.01-3.21, 1 Er 3.30
Y (0.7915, 0.5766, 0.7452)  2 Te 3.01-3.21, 1 Er 3.30
Y (0.7486, 0.4411, 0.1897)  2 Te 3.00-3.24
Y (0.1686, 0.9537, 0.7452)  2 Te 3.01-3.21, 1 Er 3.30
Y (0.2514, 0.5589, 0.8103)  2 Te 3.00-3.24
Er (0.7023, 0.0678, 0.7702)  2 Te 3.02-3.17, 1 Er 3.26, 2 Y 3.30
Er (0.2977, 0.9322, 0.2298)  2 Te 3.02-3.17, 1 Er 3.26, 2 Y 3.30
Te (0.6281, 0.7425, 0.3706)  6 Y 3.00-3.24, 2 Er 3.02-3.17
Te (0.3719, 0.2575, 0.6294)  6 Y 3.00-3.24, 2 Er 3.02-3.17

Calculated values
**Symmetry**: C2/m (12)
**Offset from the most stable computed form**: 27 meV per atom

Record 2
# YEr5Te6

A relaxed YEr5Te6 crystal (PBE-GGA, the Alexandria database).

abc: 7.4902 7.4889 7.5021
angles: 60.06 80.41 70.49
With the nearest neighbours (Å) after each atom.
Fractional positions:
Y (0.0000, 0.0000, 0.0000)  6 Te 3.08-3.10
Er (0.5000, 0.1618, 0.6764)  6 Te 3.03-3.07
Er (0.0000, 0.3340, 0.3321)  6 Te 3.04-3.06
Er (0.5000, 0.5000, 0.0000)  6 Te 3.04-3.06
Er (0.0000, 0.6660, 0.6679)  6 Te 3.04-3.06
Er (0.5000, 0.8382, 0.3236)  6 Te 3.03-3.07
Te (0.7472, 0.0839, 0.3377)  5 Er 3.06-3.07, 1 Y 3.10
Te (0.2528, 0.5784, 0.3377)  5 Er 3.06-3.07, 1 Y 3.10
Te (0.2486, 0.2541, 0.0000)  5 Er 3.03-3.04, 1 Y 3.08
Te (0.7514, 0.7459, 0.0000)  5 Er 3.03-3.04, 1 Y 3.08
Te (0.7472, 0.4216, 0.6623)  5 Er 3.06-3.07, 1 Y 3.10
Te (0.2528, 0.9161, 0.6623)  5 Er 3.06-3.07, 1 Y 3.10

Calculated values
**Symmetry**: C2/m (12)

Record 3
# Y3Er2Te6

A relaxed Y3Er2Te6 crystal (PBE-GGA, the Alexandria database).

abc: 4.3541 4.3541 21.7219
angles: 84.25 84.25 60.00
With the nearest neighbours (Å) after each atom.
Fractional positions:
Y (0.0000, 0.0000, 0.0000)  6 Te 3.08
Y (0.2788, 0.2788, 0.1636)  6 Te 3.06-3.13
Y (0.7212, 0.7212, 0.8364)  6 Te 3.06-3.13
Er (0.4470, 0.4470, 0.6591)  6 Te 2.97-3.19
Er (0.5530, 0.5530, 0.3409)  6 Te 2.97-3.19
Te (0.0833, 0.0833, 0.7500)  3 Y 3.13, 3 Er 3.19
Te (0.9167, 0.9167, 0.2500)  3 Y 3.13, 3 Er 3.19
Te (0.1953, 0.1953, 0.4142)  3 Er 2.97
Te (0.8047, 0.8047, 0.5858)  3 Er 2.97
Te (0.3608, 0.3608, 0.9176)  6 Y 3.06-3.08
Te (0.6392, 0.6392, 0.0824)  6 Y 3.06-3.08

Calculated values
**Symmetry**: R-3m (166)

Record 4
# Y2ErTe3

A relaxed Y2ErTe3 crystal (PBE-GGA, the Alexandria database).

abc: 7.2628 7.2628 8.7772
angles: 65.56 65.56 60.00
With the nearest neighbours (Å) after each atom.
Fractional positions:
Y (0.1671, 0.1671, 0.4988)  6 Te 3.09-3.10
Y (0.3329, 0.3329, 0.0012)  6 Te 3.09-3.10
Y (0.8329, 0.8329, 0.5012)  6 Te 3.09-3.10
Y (0.6671, 0.6671, 0.9988)  6 Te 3.09-3.10
Er (0.5000, 0.5000, 0.5000)  6 Te 3.09
Er (0.0000, 0.0000, 0.0000)  6 Te 3.09
Te (0.9143, 0.5857, 0.2500)  2 Er 3.09, 4 Y 3.09-3.10
Te (0.2500, 0.9143, 0.2500)  2 Er 3.09, 4 Y 3.09-3.10
Te (0.7500, 0.0857, 0.7500)  2 Er 3.09, 4 Y 3.09-3.10
Te (0.4143, 0.7500, 0.7500)  2 Er 3.09, 4 Y 3.09-3.10
Te (0.0857, 0.4143, 0.7500)  2 Er 3.09, 4 Y 3.09-3.10
Te (0.5857, 0.2500, 0.2500)  2 Er 3.09, 4 Y 3.09-3.10

Calculated values
**Symmetry**: R-3c (167)
**Offset from the most stable computed form**: 0 meV per atom

Record 5
# YErTe6

A relaxed YErTe6 crystal (PBE-GGA, the Alexandria database).

abc: 4.3368 4.3389 13.5586
angles: 90.00 99.20 90.00
With the nearest neighbours (Å) after each atom.
Fractional positions:
Y (0.1732, 0.5000, 0.3464)  9 Te 3.20-3.33
Er (0.8270, 0.0000, 0.6541)  9 Te 3.17-3.31
Te (0.5790, 0.5000, 0.1580)  4 Te 3.07, 2 Y 3.33
Te (0.4202, 0.0000, 0.8405)  4 Te 3.07, 2 Er 3.31
Te (0.2928, 0.5000, 0.5856)  1 Y 3.20, 4 Er 3.20
Te (0.7085, 0.0000, 0.4170)  1 Er 3.17, 4 Y 3.21
Te (0.9201, 0.5000, 0.8402)  4 Te 3.07, 2 Er 3.30
Te (0.0791, 0.0000, 0.1582)  4 Te 3.07, 2 Y 3.32

Calculated values
**Symmetry**: Amm2 (38)

Record 6
# YEr6Te8

A relaxed YEr6Te8 crystal (PBE-GGA, the Alexandria database).

abc: 8.6124 8.6124 8.6124
angles: 60.00 60.00 60.00
With the nearest neighbours (Å) after each atom.
Fractional positions:
Y (0.0000, 0.0000, 0.0000)  6 Te 3.13
Er (0.0000, 0.5000, 0.5000)  6 Te 3.04-3.05
Er (0.5000, 0.0000, 0.0000)  6 Te 3.04-3.05
Er (0.5000, 0.5000, 0.0000)  6 Te 3.04-3.05
Er (0.0000, 0.0000, 0.5000)  6 Te 3.04-3.05
Er (0.0000, 0.5000, 0.0000)  6 Te 3.04-3.05
Er (0.5000, 0.0000, 0.5000)  6 Te 3.04-3.05
Te (0.7500, 0.7500, 0.7500)  6 Er 3.04
Te (0.2500, 0.2500, 0.2500)  6 Er 3.04
Te (0.7428, 0.2572, 0.2572)  4 Er 3.05, 1 Y 3.13
Te (0.2572, 0.7428, 0.7428)  4 Er 3.05, 1 Y 3.13
Te (0.2572, 0.2572, 0.7428)  4 Er 3.05, 1 Y 3.13
Te (0.7428, 0.7428, 0.2572)  4 Er 3.05, 1 Y 3.13
Te (0.7428, 0.2572, 0.7428)  4 Er 3.05, 1 Y 3.13
Te (0.2572, 0.7428, 0.2572)  4 Er 3.05, 1 Y 3.13

Calculated values
**Symmetry**: Fm-3m (225)
**Offset from the most stable computed form**: 0 meV per atom

Energy relative to the elements, uncorrected (computed, meV per atom): -336; -1227; -1315; -1301; -900; -1320